Here is a geometry-optimized KCaTi2Sn structure from Alexandria via LeMat-Bulk. Energies are from PBEsol.

Calculated values
* SG: P4/mmm
* uncorrected energy: -4.14 eV per atom
* E_form: 3.45 eV per formula unit
* Fermi-level density of states: 4.9 states/eV/f.u.

POSCAR file:
```
KCaTi2Sn
1.0
5.333 0.000 0.000
0.000 5.333 0.000
0.000 0.000 5.916
Ti K Sn Ca
2 1 1 1
Cartesian
0.000 2.666 0.000 Ti
2.666 0.000 0.000 Ti
2.666 2.666 2.958 K
0.000 0.000 0.000 Sn
0.000 0.000 2.958 Ca
```